A) A relaxed structure of TiReNi2H, computed with PBE-GGA.

Calculated values
Space-group type: P4/mmm (123)

abc: 3.704 3.704 3.951
angles: 90.00 90.00 90.00
Fractional coordinates of all 5 atoms:
Ti 0.000 0.000 0.000
Re 0.500 0.500 0.000
Ni 0.000 0.500 0.500
Ni 0.500 0.000 0.500
H 0.500 0.500 0.500


B) A relaxed structure of TiReNi2H, computed with PBE-GGA.

Calculated values
Space-group type: P4/mmm (123)

abc: 3.654 3.654 4.021
angles: 90.00 90.00 90.00
Fractional coordinates of all 5 atoms:
Ti 0.000 0.000 0.000
Re 0.500 0.500 0.000
Ni 0.000 0.500 0.500
Ni 0.500 0.000 0.500
H 0.000 0.000 0.500


The most stable arrangement is A), and the next structure is 11 meV/atom less stable.